[1]
# Ho2In4Ga

A geometry-optimized Ho2In4Ga structure (GGA-PBE, Alexandria via LeMat-Bulk).

Results
Final energy   -25.32 eV/cell

Cell: 6.216 6.216 6.418 Å, 118.76 118.76 90.26°
Fractional positions:
Ho 0.000 0.500 0.000
Ho 0.500 0.000 0.000
In 0.000 0.000 0.500
In 0.000 0.500 0.500
In 0.500 0.000 0.500
In 0.500 0.500 0.500
Ga 0.000 0.000 0.000

[2]
# Y6Ge2TeSe3

A geometry-optimized Y6Ge2TeSe3 structure (GGA-PBE, Alexandria via LeMat-Bulk).

Results
Energy relative to the elements, uncorrected   -1.49 eV/atom

Cell: 9.306 9.306 8.388 Å, 102.38 102.38 25.88°
Fractional positions:
Y 0.007 0.007 0.271
Y 0.327 0.327 0.896
Y 0.330 0.330 0.423
Y 0.670 0.670 0.577
Y 0.673 0.673 0.104
Y 0.993 0.993 0.729
Ge 0.167 0.167 0.335
Ge 0.833 0.833 0.665
Te 0.500 0.500 0.000
Se 0.163 0.163 0.836
Se 0.500 0.500 0.500
Se 0.837 0.837 0.164

[3]
# Ca2ZrF

A geometry-optimized Ca2ZrF structure (GGA-PBE, Alexandria via LeMat-Bulk).

Results
Energy relative to the elements, uncorrected   -0.81 eV/atom

Cell: 9.910 9.910 9.910 Å, 19.48 19.48 19.48°
Fractional positions:
Ca 0.109 0.109 0.109
Ca 0.891 0.891 0.891
Zr 0.000 0.000 0.000
F 0.500 0.500 0.500

It is found that the total magnetic moment values, taken in the order of the records, are 0.00; 0.00; 1.03 μB/cell.